No. 1
DFT (SCAN) results for a PBEsol-optimized structure of In5Cu.

Structure (POSCAR):
```
In5Cu
1.0
3.191 0.000 0.000
0.000 3.191 0.000
0.000 0.000 13.331
In Cu
5 1
direct
0.000 0.000 0.000 In
0.000 0.000 0.375 In
0.000 0.000 0.625 In
0.500 0.500 0.187 In
0.500 0.500 0.813 In
0.500 0.500 0.500 Cu
```

Summary:
space group: P4/mmm (123)
crystal system: tetragonal

=====

No. 2
DFT (SCAN) results for a PBEsol-optimized structure of LiTlAs2.

Structure (POSCAR):
```
LiTlAs2
1.0
4.470 -1.792 0.000
4.470 1.792 0.000
-1.336 0.000 5.526
Li Tl As
1 1 2
direct
0.000 0.000 0.000 Li
0.500 0.500 0.500 Tl
0.255 0.255 0.844 As
0.745 0.745 0.156 As
```

Summary:
space group: C2/m (12)
crystal system: monoclinic

=====

Number 1: DFT formation energy 0.616 eV per formula unit, total moment 0.000 μB/atom. Number 2: DFT formation energy -0.934 eV per formula unit, total moment 0.000 μB/atom.